# 1
Compound: Be2SnHBr
Source: the Alexandria database
Functional: PBE-GGA
Structure: relaxed

Cell and atoms, written as CIF:
```
data_Be2SnHBr
_space_group_name_H-M_alt 'P 1'
_space_group_IT_number 1
_cell_length_a 4.8088
_cell_length_b 3.9620
_cell_length_c 4.8088
_cell_angle_alpha 90.00
_cell_angle_beta 90.00
_cell_angle_gamma 90.00
loop_
_space_group_symop_operation_xyz
'x,y,z'
loop_
_atom_site_label
_atom_site_type_symbol
_atom_site_fract_x
_atom_site_fract_y
_atom_site_fract_z
_atom_site_occupancy
H1 H 0.0000 0.5000 0.0000 1
Be1 Be 0.0000 0.0000 0.5000 1
Be2 Be 0.5000 0.0000 0.0000 1
Br1 Br 0.5000 0.5000 0.5000 1
Sn1 Sn 0.0000 0.0000 0.0000 1
```

Results
Crystal system: tetragonal

***

# 2
Compound: BeTl2HBr
Source: the Alexandria database
Functional: PBE-GGA
Structure: relaxed

Cell and atoms, written as CIF:
```
data_BeTl2HBr
_space_group_name_H-M_alt 'P 1'
_space_group_IT_number 1
_cell_length_a 5.1477
_cell_length_b 4.7079
_cell_length_c 5.1477
_cell_angle_alpha 90.00
_cell_angle_beta 90.00
_cell_angle_gamma 90.00
loop_
_space_group_symop_operation_xyz
'x,y,z'
loop_
_atom_site_label
_atom_site_type_symbol
_atom_site_fract_x
_atom_site_fract_y
_atom_site_fract_z
_atom_site_occupancy
Be1 Be 0.0000 0.0000 0.0000 1
H1 H 0.5000 0.5000 0.5000 1
Tl1 Tl 0.5000 0.0000 0.0000 1
Tl2 Tl 0.0000 0.0000 0.5000 1
Br1 Br 0.0000 0.5000 0.0000 1
```

Results
Crystal system: tetragonal

***

# 3
Compound: BeZn2HBr
Source: the Alexandria database
Functional: PBE-GGA
Structure: relaxed

Cell and atoms, written as CIF:
```
data_BeZn2HBr
_space_group_name_H-M_alt 'P 1'
_space_group_IT_number 1
_cell_length_a 3.7390
_cell_length_b 5.7386
_cell_length_c 3.7390
_cell_angle_alpha 90.00
_cell_angle_beta 90.00
_cell_angle_gamma 90.00
loop_
_space_group_symop_operation_xyz
'x,y,z'
loop_
_atom_site_label
_atom_site_type_symbol
_atom_site_fract_x
_atom_site_fract_y
_atom_site_fract_z
_atom_site_occupancy
Zn1 Zn 0.0000 0.0000 0.5000 1
Zn2 Zn 0.5000 0.0000 0.0000 1
Br1 Br 0.0000 0.5000 0.0000 1
Be1 Be 0.5000 0.5000 0.5000 1
H1 H 0.0000 0.0000 0.0000 1
```

Results
Crystal system: tetragonal

***

# 4
Compound: HfBeBr2
Source: the Alexandria database
Functional: PBE-GGA
Structure: relaxed

Cell and atoms, written as CIF:
```
data_HfBeBr2
_space_group_name_H-M_alt 'P 1'
_space_group_IT_number 1
_cell_length_a 4.7414
_cell_length_b 4.7414
_cell_length_c 4.7414
_cell_angle_alpha 60.00
_cell_angle_beta 60.00
_cell_angle_gamma 60.00
loop_
_space_group_symop_operation_xyz
'x,y,z'
loop_
_atom_site_label
_atom_site_type_symbol
_atom_site_fract_x
_atom_site_fract_y
_atom_site_fract_z
_atom_site_occupancy
Hf1 Hf 0.5000 0.5000 0.5000 1
Br1 Br 0.2500 0.2500 0.2500 1
Br2 Br 0.7500 0.7500 0.7500 1
Be1 Be 0.0000 0.0000 0.0000 1
```

Results
Crystal system: cubic
Uncorrected formation energy: 0.39 eV per atom
E above lowest polymorph: 1.50 eV per formula unit

***

# 5
Compound: HfBeBr2
Source: the Alexandria database
Functional: PBE-GGA
Structure: relaxed

Cell and atoms, written as CIF:
```
data_HfBeBr2
_space_group_name_H-M_alt 'P 1'
_space_group_IT_number 1
_cell_length_a 8.6304
_cell_length_b 8.6304
_cell_length_c 8.6304
_cell_angle_alpha 22.37
_cell_angle_beta 22.37
_cell_angle_gamma 22.37
loop_
_space_group_symop_operation_xyz
'x,y,z'
loop_
_atom_site_label
_atom_site_type_symbol
_atom_site_fract_x
_atom_site_fract_y
_atom_site_fract_z
_atom_site_occupancy
Be1 Be 0.0000 0.0000 0.0000 1
Br1 Br 0.3895 0.3895 0.3895 1
Br2 Br 0.6105 0.6105 0.6105 1
Hf1 Hf 0.5000 0.5000 0.5000 1
```

Results
Crystal system: trigonal
Uncorrected formation energy: 0.01 eV per atom
E above lowest polymorph: 0.00 eV per formula unit

***

# 6
Compound: HfBe2Br
Source: the Alexandria database
Functional: PBE-GGA
Structure: relaxed

Cell and atoms, written as CIF:
```
data_HfBe2Br
_space_group_name_H-M_alt 'P 1'
_space_group_IT_number 1
_cell_length_a 7.0485
_cell_length_b 7.0485
_cell_length_c 5.6360
_cell_angle_alpha 51.29
_cell_angle_beta 51.29
_cell_angle_gamma 90.00
loop_
_space_group_symop_operation_xyz
'x,y,z'
loop_
_atom_site_label
_atom_site_type_symbol
_atom_site_fract_x
_atom_site_fract_y
_atom_site_fract_z
_atom_site_occupancy
Hf1 Hf 0.7500 0.2500 0.5000 1
Hf2 Hf 0.0000 0.0000 0.0000 1
Br1 Br 0.5000 0.5000 0.0000 1
Br2 Br 0.2500 0.7500 0.5000 1
Be1 Be 0.3750 0.3939 0.7500 1
Be2 Be 0.6061 0.1250 0.2500 1
Be3 Be 0.8750 0.8561 0.7500 1
Be4 Be 0.1439 0.6250 0.2500 1
```

Results
Crystal system: tetragonal
Uncorrected formation energy: 0.65 eV per atom
E above lowest polymorph: 0.00 eV per formula unit

***

no.,E (eV/cell)
1,-13.92
2,-11.50
3,-8.69
4,-15.47
5,-16.97
6,-32.95